Entry 1:
A plane-wave DFT calculation with PBE was carried out for a relaxed structure of Sc4CoC2S.

Output
Electronic total energy (eV/atom): -7.59

a = 3.369 Å, b = 3.369 Å, c = 12.440 Å
α = 90.00°, β = 90.00°, γ = 120.00°
Site moments in Bohr magnetons follow the coordinates.
Sites, in units of the cell vectors:
Sc: 0.000 0.000 0.643  -0.01
Sc: 0.667 0.333 0.158  -0.09
Sc: 0.000 0.000 0.357  -0.02
Sc: 0.667 0.333 0.842  -0.09
C: 0.333 0.667 0.257  0.01
C: 0.333 0.667 0.743  0.01
Co: 0.000 0.000 0.000  1.10
S: 0.667 0.333 0.500  0.01


Entry 2:
A plane-wave DFT calculation with PBE was carried out for a relaxed structure of CdB2Pt.

Output
Electronic total energy (eV/atom): -3.62

a = 4.271 Å, b = 4.271 Å, c = 4.271 Å
α = 60.00°, β = 60.00°, γ = 60.00°
Sites, in units of the cell vectors:
Cd: 0.750 0.750 0.750
Pt: 0.000 0.000 0.000
B: 0.500 0.500 0.500
B: 0.250 0.250 0.250


Entry 3:
A plane-wave DFT calculation with PBE was carried out for a relaxed structure of TmSiH2O4.

Output
Energy relative to the lowest polymorph listed for this composition (meV/atom): 28.4

a = 5.584 Å, b = 5.584 Å, c = 6.231 Å
α = 106.50°, β = 106.50°, γ = 111.48°
Sites, in units of the cell vectors:
O: 0.504 0.261 0.597
O: 0.011 0.754 0.097
O: 0.658 0.914 0.903
O: 0.746 0.390 0.296
O: 0.094 0.450 0.704
O: 0.200 0.344 0.204
O: 0.140 0.996 0.796
O: 0.664 0.908 0.403
H: 0.836 0.898 0.510
H: 0.076 0.638 0.990
H: 0.648 0.086 0.010
H: 0.388 0.326 0.490
Tm: 0.481 0.481 0.000
Tm: 0.231 0.731 0.500
Si: 0.762 0.262 0.500
Si: 0.012 0.012 0.000


Entry 4:
A plane-wave DFT calculation with PBE was carried out for a relaxed structure of LaTcAsO.

Output
Energy relative to the lowest polymorph listed for this composition (meV/atom): 425.4

a = 4.299 Å, b = 4.331 Å, c = 7.504 Å
α = 90.00°, β = 90.00°, γ = 90.00°
Site moments in Bohr magnetons follow the coordinates.
Sites, in units of the cell vectors:
As: 0.000 0.252 0.272  0.01
As: 0.000 0.748 0.772  0.01
O: 0.500 0.751 0.439  0.00
O: 0.500 0.249 0.939  0.00
La: 0.500 0.749 0.105  0.01
La: 0.500 0.251 0.605  0.01
Tc: 0.000 0.248 0.939  0.07
Tc: 0.000 0.752 0.439  0.07


Entry 5:
A plane-wave DFT calculation with PBE was carried out for a relaxed structure of GdMg2H6.

Output
Electronic total energy (eV/atom): -3.37

a = 3.557 Å, b = 3.557 Å, c = 7.913 Å
α = 90.00°, β = 90.00°, γ = 90.00°
Sites, in units of the cell vectors:
Gd: 0.000 0.000 0.000
H: 0.500 0.000 0.809
H: 0.500 0.000 0.191
H: 0.000 0.500 0.191
H: 0.500 0.500 0.500
H: 0.500 0.500 0.000
H: 0.000 0.500 0.809
Mg: 0.500 0.500 0.722
Mg: 0.500 0.500 0.278


Entry 6:
A plane-wave DFT calculation with PBE was carried out for a relaxed structure of Tl2AgAsBr6.

Output
Electronic total energy (eV/atom): -2.78

a = 7.676 Å, b = 7.676 Å, c = 7.676 Å
α = 60.00°, β = 60.00°, γ = 60.00°
Sites, in units of the cell vectors:
Tl: 0.750 0.750 0.750
Tl: 0.250 0.250 0.250
Ag: 0.500 0.500 0.500
Br: 0.756 0.244 0.756
Br: 0.244 0.756 0.756
Br: 0.756 0.756 0.244
Br: 0.244 0.244 0.756
Br: 0.244 0.756 0.244
Br: 0.756 0.244 0.244
As: 0.000 0.000 0.000


Entry 7:
A plane-wave DFT calculation with PBE was carried out for a relaxed structure of DyErAl4Cu2.

Output
Electronic total energy (eV/atom): -4.39

a = 6.771 Å, b = 5.451 Å, c = 5.451 Å
α = 45.43°, β = 90.00°, γ = 90.00°
Sites, in units of the cell vectors:
Er: 0.000 0.572 0.572
Al: 0.804 0.861 0.861
Al: 0.303 0.138 0.138
Al: 0.697 0.138 0.138
Al: 0.196 0.861 0.861
Cu: 0.000 0.288 0.288
Cu: 0.500 0.712 0.712
Dy: 0.500 0.428 0.428


Entry 8:
A plane-wave DFT calculation with PBE was carried out for a relaxed structure of ErHf3C2S2.

Output
Electronic total energy (eV/atom): -8.96

a = 3.431 Å, b = 3.431 Å, c = 12.275 Å
α = 90.00°, β = 90.00°, γ = 120.00°
Sites, in units of the cell vectors:
Hf: 0.000 0.000 0.406
Hf: 0.667 0.333 0.600
Hf: 0.667 0.333 0.894
C: 0.333 0.667 0.503
C: 0.333 0.667 0.986
S: 0.000 0.000 0.746
S: 0.667 0.333 0.263
Er: 0.000 0.000 0.102


Entry 9:
A plane-wave DFT calculation with PBE was carried out for a relaxed structure of LiHg3GeTe4.

Output
Energy relative to the lowest polymorph listed for this composition (meV/atom): 0.0

a = 6.819 Å, b = 6.819 Å, c = 6.819 Å
α = 90.00°, β = 90.00°, γ = 90.00°
Sites, in units of the cell vectors:
Hg: 0.500 0.000 0.000
Hg: 0.000 0.500 0.000
Hg: 0.000 0.000 0.500
Ge: 0.000 0.000 0.000
Li: 0.500 0.500 0.500
Te: 0.749 0.251 0.251
Te: 0.749 0.749 0.749
Te: 0.251 0.251 0.749
Te: 0.251 0.749 0.251


Entry 10:
A plane-wave DFT calculation with PBE was carried out for a relaxed structure of Al2AgPb.

Output
Electronic total energy (eV/atom): -3.23

a = 4.951 Å, b = 4.951 Å, c = 4.951 Å
α = 60.00°, β = 60.00°, γ = 60.00°
Sites, in units of the cell vectors:
Pb: 0.750 0.750 0.750
Al: 0.250 0.250 0.250
Al: 0.000 0.000 0.000
Ag: 0.500 0.500 0.500


Entry 11:
A plane-wave DFT calculation with PBE was carried out for a relaxed structure of ZnFeBPt.

Output
Energy relative to the lowest polymorph listed for this composition (meV/atom): 234.0

a = 4.140 Å, b = 4.140 Å, c = 4.140 Å
α = 60.00°, β = 60.00°, γ = 60.00°
Sites, in units of the cell vectors:
B: 0.000 0.000 0.000
Zn: 0.250 0.250 0.250
Pt: 0.500 0.500 0.500
Fe: 0.750 0.750 0.750


Entry 12:
A plane-wave DFT calculation with PBE was carried out for a relaxed structure of SmY2Zn2Si4Au2.

Output
Energy relative to the lowest polymorph listed for this composition (meV/atom): 0.0

a = 12.912 Å, b = 12.912 Å, c = 12.912 Å
α = 161.84°, β = 161.25°, γ = 26.21°
Sites, in units of the cell vectors:
Si: 0.453 0.453 0.000
Si: 0.808 0.308 0.500
Si: 0.192 0.692 0.500
Si: 0.547 0.547 0.000
Zn: 0.251 0.251 0.000
Zn: 0.749 0.749 0.000
Sm: 0.000 0.000 0.000
Au: 0.904 0.404 0.500
Au: 0.096 0.596 0.500
Y: 0.354 0.854 0.500
Y: 0.646 0.146 0.500